(1)
Material: ZrWSeBr2
Method: DFT, PBE
State: optimized geometry

It has space group P4/mmm (No. 123), with a = 5.297 Å, b = 5.297 Å, c = 5.287 Å, α = 90.00°, β = 90.00° and γ = 90.00°. The distinct sites, in fractional coordinates, are Zr at (0.000, 0.000, 0.000), W at (0.500, 0.500, 0.500), Se at (0.000, 0.000, 0.500) and Br at (0.000, 0.500, 0.000).

The calculation puts the uncorrected formation energy at 608 meV/atom. The energy comes out at -5.058 eV/atom. As for the polymorph energy (0 for the lowest one): 0.0 meV per atom.


(2)
Material: ZrWSeBr2
Method: DFT, PBE
State: optimized geometry

It has space group P4/mmm (No. 123), with a = 5.118 Å, b = 5.118 Å, c = 4.957 Å, α = 90.00°, β = 90.00° and γ = 90.00°. The distinct sites, in fractional coordinates, are Zr at (0.000, 0.000, 0.000), W at (0.500, 0.500, 0.500), Se at (0.500, 0.500, 0.000) and Br at (0.000, 0.500, 0.500).

The calculation puts the uncorrected formation energy at 714 meV/atom. The energy comes out at -4.952 eV/atom. As for the polymorph energy (0 for the lowest one): 106.4 meV per atom.